(1)
Material: SrHf2Fe
Method: DFT, PBE
State: optimized geometry

Unit cell a=6.734 b=6.734 c=7.639 alpha=63.85 beta=63.85 gamma=90.00
Fractional positions:
Fe  0.250  0.750  0.500
Sr  0.000  0.000  0.000
Hf  0.375  0.625  0.250
Fe  0.500  0.500  0.000
Sr  0.750  0.250  0.500
Hf  0.375  0.125  0.250
Hf  0.875  0.625  0.750
Hf  0.375  0.625  0.750

Results
ΔE to the lowest computed polymorph = 0.77 eV per formula unit
crystal system = tetragonal
magnetization = 0.000 Bohr magnetons per cell
formation energy = 0.982 eV/atom

---

(2)
Material: SrHf2Fe
Method: DFT, PBE
State: optimized geometry

Unit cell a=4.885 b=4.885 c=4.885 alpha=60.00 beta=60.00 gamma=60.00
Fractional positions:
Hf  0.750  0.750  0.750
Fe  0.000  0.000  0.000
Hf  0.250  0.250  0.250
Sr  0.500  0.500  0.500

Results
ΔE to the lowest computed polymorph = 0.00 eV per formula unit
crystal system = cubic
magnetization = 0.000 Bohr magnetons per cell
formation energy = 0.790 eV/atom

---

(3)
Material: Sr3HfFe
Method: DFT, PBE
State: optimized geometry

Unit cell a=6.085 b=6.085 c=6.085 alpha=90.00 beta=90.00 gamma=90.00
Each line ends with the local moment (μB).
Fractional positions:
Sr  0.000  0.500  0.000  0.07
Fe  0.500  0.500  0.500  3.32
Sr  0.500  0.000  0.000  0.04
Hf  0.000  0.000  0.000  0.79
Sr  0.000  0.000  0.500  0.09

Results
ΔE to the lowest computed polymorph = 2.07 eV per formula unit
crystal system = cubic
magnetization = 4.974 Bohr magnetons per cell
formation energy = 1.516 eV/atom

---

(4)
Material: Sr3HfFe
Method: DFT, PBE
State: optimized geometry

Unit cell a=5.581 b=5.581 c=5.581 alpha=90.00 beta=90.00 gamma=90.00
Fractional positions:
Fe  0.000  0.000  0.000
Sr  0.500  0.000  0.000
Sr  0.000  0.500  0.000
Sr  0.000  0.000  0.500
Hf  0.500  0.500  0.500

Results
ΔE to the lowest computed polymorph = 0.00 eV per formula unit
crystal system = cubic
magnetization = 0.000 Bohr magnetons per cell
formation energy = 1.102 eV/atom

---

Please write out number 3 again, unchanged.
Material: Sr3HfFe
Method: DFT, PBE
State: optimized geometry

Unit cell a=6.085 b=6.085 c=6.085 alpha=90.00 beta=90.00 gamma=90.00
Each line ends with the local moment (μB).
Fractional positions:
Sr  0.000  0.500  0.000  0.07
Fe  0.500  0.500  0.500  3.32
Sr  0.500  0.000  0.000  0.04
Hf  0.000  0.000  0.000  0.79
Sr  0.000  0.000  0.500  0.09

Results
ΔE to the lowest computed polymorph = 2.07 eV per formula unit
crystal system = cubic
magnetization = 4.974 Bohr magnetons per cell
formation energy = 1.516 eV/atom

---

Q: Which value of ΔE to the lowest computed polymorph does entry 3 give?
A: 2.07 eV per formula unit

---

Q: Look up the ΔE to the lowest computed polymorph of the first one.
A: 0.77 eV per formula unit